First-principles (PBE) data for Os2SeCl after structural relaxation, as listed in Alexandria.

As for the raw formation energy: 1.1305 eV per atom. As for the energy above the most stable polymorph in this dataset: 907 meV per atom.

abc: 2.8773 5.4047 8.3962
angles: 90.00 90.00 90.00
Closest atoms and distances in Å follow each position.
Positions (direct):
Os: 0.0000 0.0000 0.2370  2 Se 2.46, 2 Cl 2.64
Os: 0.0000 0.0000 0.7630  2 Se 2.46, 2 Cl 2.64
Os: 0.5000 0.5000 0.2630  2 Se 2.46, 2 Cl 2.64
Os: 0.5000 0.5000 0.7370  2 Se 2.46, 2 Cl 2.64
Se: 0.0000 0.5000 0.5000  4 Os 2.46
Se: 0.5000 0.0000 0.0000  4 Os 2.46
Cl: 0.0000 0.5000 0.0000  4 Os 2.64, 2 Cl 2.88
Cl: 0.5000 0.0000 0.5000  4 Os 2.64, 2 Cl 2.88